Material: La3RuAu
Method: DFT, GGA-PBE
State: relaxed

Properties
ΔE to the lowest computed polymorph	71	meV per atom
crystal system	monoclinic
ΔH_f (0 K)	-417	meV/atom

a b c (Å): 24.9799 6.9369 8.6380
angles (deg): 90.00 157.21 90.00
Closest atoms and distances in Å follow each position.
Fractional positions:
Ru1 0.4813 0.7969 0.5402  4 La 2.62-2.92
Ru2 0.5187 0.2031 0.4598  4 La 2.62-2.92
Ru3 0.0187 0.2969 0.9598  4 La 2.62-2.92
Ru4 0.9813 0.7031 0.0402  4 La 2.62-2.92
Au1 0.1761 0.9648 0.8081  7 La 3.15-3.26, 2 Ru 3.25-3.38
Au2 0.8239 0.0352 0.1919  7 La 3.15-3.26, 2 Ru 3.25-3.38
Au3 0.3239 0.4648 0.6919  7 La 3.15-3.26, 2 Ru 3.25-3.38
Au4 0.6761 0.5352 0.3081  7 La 3.15-3.26, 2 Ru 3.25-3.38
La1 0.2608 0.0703 0.6906  2 Ru 2.75-2.92
La2 0.7392 0.9297 0.3094  2 Ru 2.75-2.92
La3 0.2392 0.5703 0.8094  2 Ru 2.75-2.92
La4 0.7608 0.4297 0.1906  2 Ru 2.75-2.92
La5 0.4430 0.2505 0.5470  1 Ru 2.62
La6 0.5570 0.7495 0.4530  1 Ru 2.62
La7 0.0570 0.7505 0.9530  1 Ru 2.62
La8 0.9430 0.2495 0.0470  1 Ru 2.62
La9 0.3949 0.7580 0.6139  1 Ru 2.77
La10 0.6051 0.2420 0.3861  1 Ru 2.77
La11 0.1051 0.2580 0.8861  1 Ru 2.77
La12 0.8949 0.7420 0.1139  1 Ru 2.77

Material: KZrMo2
Method: DFT, GGA-PBE
State: relaxed

Properties
ΔE to the lowest computed polymorph	826	meV per atom
crystal system	orthorhombic
ΔH_f (0 K)	1380	meV/atom

a b c (Å): 3.4369 4.5308 5.0832
angles (deg): 90.00 90.00 90.00
Closest atoms and distances in Å follow each position.
Fractional positions:
K1 0.0000 0.5000 0.5000  4 Zr 2.84, 4 Mo 3.07
Mo1 0.0000 0.0000 0.0000  4 Mo 2.84, 4 Zr 3.07
Mo2 0.5000 0.5000 0.0000  4 Mo 2.84, 4 K 3.07
Zr1 0.5000 0.0000 0.5000  4 K 2.84, 4 Mo 3.07

Material: Si2AsPd
Method: DFT, GGA-PBE
State: relaxed

Properties
crystal system	tetragonal
energy relative to the elements, uncorrected	-19.1	meV per atom

a b c (Å): 5.6372 5.6372 6.6437
angles (deg): 64.90 64.90 90.00
Closest atoms and distances in Å follow each position.
Fractional positions:
As1 0.5000 0.5000 0.0000  4 Si 2.45
As2 0.2500 0.7500 0.5000  4 Si 2.45
Si1 0.6397 0.1250 0.2500  2 Pd 2.35, 2 As 2.45
Si2 0.1103 0.6250 0.2500  2 Pd 2.35, 2 As 2.45
Si3 0.3750 0.3603 0.7500  2 Pd 2.35, 2 As 2.45
Si4 0.8750 0.8897 0.7500  2 Pd 2.35, 2 As 2.45
Pd1 0.0000 0.0000 0.0000  4 Si 2.35
Pd2 0.7500 0.2500 0.5000  4 Si 2.35

Material: CaTiFeP2
Method: DFT, GGA-PBE
State: relaxed

Properties
crystal system	tetragonal
ΔH_f (0 K)	-887	meV/atom

a b c (Å): 3.8504 3.8504 6.4625
angles (deg): 107.33 107.33 90.00
Closest atoms and distances in Å follow each position.
Fractional positions:
Ca1 0.0000 0.0000 0.0000  8 P 3.11
Ti1 0.7500 0.2500 0.5000  4 P 2.39
Fe1 0.2500 0.7500 0.5000  4 P 2.39
P1 0.6285 0.6285 0.2570  2 Fe 2.39, 2 Ti 2.39
P2 0.3715 0.3715 0.7430  2 Fe 2.39, 2 Ti 2.39

Material: Pm7Pb2N2
Method: DFT, GGA-PBE
State: relaxed

Properties
crystal system	monoclinic
energy relative to the elements, uncorrected	-533.8	meV per atom

a b c (Å): 6.8914 6.7345 6.8914
angles (deg): 95.36 109.69 84.64
Closest atoms and distances in Å follow each position.
Fractional positions:
Pm1 0.0713 0.2211 0.5113  2 N 2.48-2.66
Pm2 0.5113 0.7789 0.0713  2 N 2.48-2.66
Pm3 0.9287 0.7789 0.4887  2 N 2.48-2.66
Pm4 0.4887 0.2211 0.9287  2 N 2.48-2.66
Pm5 0.0000 0.0000 0.0000  2 N 2.53
Pm6 0.4272 0.7890 0.5728  1 N 2.45
Pm7 0.5728 0.2110 0.4272  1 N 2.45
Pb1 0.8133 0.5000 0.8133  1 Pb 2.96, 2 Pm 3.21
Pb2 0.1867 0.5000 0.1867  1 Pb 2.96, 2 Pm 3.21
N1 0.7739 0.0274 0.2261  6 Pm 2.45-2.66
N2 0.2261 0.9726 0.7739  6 Pm 2.45-2.66

Material: KHgBiAu2
Method: DFT, GGA-PBE
State: relaxed

Properties
ΔE to the lowest computed polymorph	0	meV per atom
crystal system	orthorhombic
ΔH_f (0 K)	-182	meV/atom

a b c (Å): 4.7613 4.4115 7.3883
angles (deg): 107.37 108.80 90.00
Closest atoms and distances in Å follow each position.
Fractional positions:
K1 0.4531 0.4531 0.9062  6 Au 3.48-3.77, 4 Hg 3.57
Hg1 0.8405 0.8405 0.6810  3 Au 2.75-3.03
Bi1 0.1869 0.6869 0.3737  2 Au 2.87, 2 Hg 3.13
Au1 0.6837 0.1837 0.3675  2 Au 2.99, 2 Hg 3.03, 4 Bi 3.25
Au2 0.0480 0.0480 0.0959  1 Hg 2.75, 2 Bi 2.87, 2 Au 2.99

Material: CuSbPt4
Method: DFT, GGA-PBE
State: relaxed

Properties
ΔE to the lowest computed polymorph	0	meV per atom
crystal system	monoclinic
energy relative to the elements, uncorrected	-169.2	meV per atom

a b c (Å): 4.5376 9.7221 4.4789
angles (deg): 90.00 78.06 90.00
Closest atoms and distances in Å follow each position.
Fractional positions:
Cu1 0.5000 0.0000 0.5000  8 Pt 2.71-2.75, 2 Sb 2.84
Cu2 0.0000 0.5000 0.5000  8 Pt 2.71-2.75, 2 Sb 2.84
Sb1 0.0000 0.0000 0.0000  8 Pt 2.73, 2 Cu 2.84
Sb2 0.5000 0.5000 0.0000  8 Pt 2.73, 2 Cu 2.84
Pt1 0.0000 0.6563 0.0000  2 Cu 2.71, 2 Sb 2.73, 6 Pt 2.84-2.91
Pt2 0.5000 0.1563 0.0000  2 Cu 2.71, 2 Sb 2.73, 6 Pt 2.84-2.91
Pt3 0.5000 0.3399 0.5000  2 Sb 2.73, 2 Cu 2.75, 6 Pt 2.84-2.86
Pt4 0.0000 0.8398 0.5000  2 Sb 2.73, 2 Cu 2.75, 6 Pt 2.84-2.86
Pt5 0.0000 0.3437 0.0000  2 Cu 2.71, 2 Sb 2.73, 6 Pt 2.84-2.91
Pt6 0.5000 0.8437 0.0000  2 Cu 2.71, 2 Sb 2.73, 6 Pt 2.84-2.91
Pt7 0.5000 0.6601 0.5000  2 Sb 2.73, 2 Cu 2.75, 6 Pt 2.84-2.86
Pt8 0.0000 0.1602 0.5000  2 Sb 2.73, 2 Cu 2.75, 6 Pt 2.84-2.86

Material: SrAl2Ag
Method: DFT, GGA-PBE
State: relaxed

Properties
crystal system	tetragonal
ΔH_f (0 K)	-59	meV/atom

a b c (Å): 3.4867 3.4841 7.5069
angles (deg): 90.00 90.00 90.00
Closest atoms and distances in Å follow each position.
Fractional positions:
Sr1 0.0000 0.0000 0.5011  5 Al 3.38-3.66, 4 Ag 3.42, 4 Sr 3.48-3.49
Al1 0.0000 0.0000 0.9893  4 Ag 2.78, 4 Al 2.90
Al2 0.5000 0.5000 0.1924  1 Ag 2.82, 4 Al 2.90
Ag1 0.5000 0.5000 0.8172  5 Al 2.78-2.82

Material: K2PuMgCl6
Method: DFT, GGA-PBE
State: relaxed

Properties
crystal system	monoclinic
energy relative to the elements, uncorrected	-1845.0	meV per atom

a b c (Å): 7.2508 7.5229 10.4146
angles (deg): 90.00 90.47 90.00
Closest atoms and distances in Å follow each position.
Fractional positions:
K1 0.0191 0.9373 0.2481  6 Cl 3.18-3.42
K2 0.5191 0.5627 0.7481  6 Cl 3.18-3.42
K3 0.9809 0.0627 0.7519  6 Cl 3.18-3.42
K4 0.4809 0.4373 0.2519  6 Cl 3.18-3.42
Pu1 0.5000 0.0000 0.0000  6 Cl 2.85-2.86
Pu2 0.0000 0.5000 0.5000  6 Cl 2.85-2.86
Mg1 0.5000 0.0000 0.5000  6 Cl 2.54-2.56
Mg2 0.0000 0.5000 0.0000  6 Cl 2.54-2.56
Cl1 0.2843 0.6892 0.0458  1 Mg 2.55
Cl2 0.7843 0.8108 0.5458  1 Mg 2.55
Cl3 0.7157 0.3108 0.9542  1 Mg 2.55
Cl4 0.2157 0.1892 0.4542  1 Mg 2.55
Cl5 0.3147 0.7174 0.4506  1 Mg 2.56, 1 Pu 2.86
Cl6 0.8147 0.7826 0.9506  1 Mg 2.56, 1 Pu 2.86
Cl7 0.6853 0.2826 0.5494  1 Mg 2.56, 1 Pu 2.86
Cl8 0.1853 0.2174 0.0494  1 Mg 2.56, 1 Pu 2.86
Cl9 0.9084 0.5251 0.2342  1 Mg 2.54
Cl10 0.4084 0.9749 0.7342  1 Mg 2.54
Cl11 0.0916 0.4749 0.7658  1 Mg 2.54
Cl12 0.5916 0.0251 0.2658  1 Mg 2.54

Material: Zn2CuW
Method: DFT, GGA-PBE
State: relaxed

Properties
ΔE to the lowest computed polymorph	77	meV per atom
crystal system	trigonal
ΔH_f (0 K)	181	meV/atom

a b c (Å): 8.9330 8.9330 8.9330
angles (deg): 17.78 17.78 17.78
Closest atoms and distances in Å follow each position.
Fractional positions:
Cu1 0.2500 0.2500 0.2500  6 Zn 2.62, 6 Cu 2.76
W1 0.7500 0.7500 0.7500  6 W 2.76, 6 Zn 2.81
Zn1 0.9955 0.9955 0.9955  3 Cu 2.62, 6 Zn 2.76, 3 W 2.81
Zn2 0.5045 0.5045 0.5045  3 Cu 2.62, 6 Zn 2.76, 3 W 2.81

Material: Li2LaW
Method: DFT, GGA-PBE
State: relaxed

Properties
ΔE to the lowest computed polymorph	119	meV per atom
crystal system	orthorhombic
ΔH_f (0 K)	620	meV/atom

a b c (Å): 2.8576 2.8576 10.8472
angles (deg): 90.00 90.00 114.41
Closest atoms and distances in Å follow each position.
Fractional positions:
La1 0.5000 0.5000 0.7500  6 La 2.86-3.10
Li1 0.0000 0.0000 0.0335  2 W 2.81, 6 Li 2.86-3.10
Li2 0.0000 0.0000 0.4665  2 W 2.81, 6 Li 2.86-3.10
W1 0.5000 0.5000 0.2500  4 Li 2.81, 6 W 2.86-3.10

Material: AcTbCeAl
Method: DFT, GGA-PBE
State: relaxed

Properties
crystal system	cubic
ΔH_f (0 K)	98	meV/atom

a b c (Å): 5.5198 5.5198 5.5198
angles (deg): 60.00 60.00 60.00
Closest atoms and distances in Å follow each position.
Fractional positions:
Ac1 0.7500 0.7500 0.7500  4 Tb 3.38, 4 Ce 3.38
Tb1 0.0000 0.0000 0.0000  4 Ac 3.38, 4 Al 3.38
Al1 0.2500 0.2500 0.2500  4 Tb 3.38, 4 Ce 3.38
Ce1 0.5000 0.5000 0.5000  4 Ac 3.38, 4 Al 3.38

Magnetization, record by record: 0.00, 0.00, 0.00, 1.88, 0.00, 0.00, 0.00, 0.00, 12.00, 0.00, 0.00, 0.94 μB per cell
E, record by record: -117.7, -25.8, -41.5, -33.6, -63.2, -12.7, -66.8, -12.3, -95.3, -18.9, -19.2, -18.0 eV per cell